1) V3SnW: relaxed, PBE.

Computed properties:
* total magnetization: 0.0000 μB/atom
* density: 7.7 g/cm3

```
data_V3SnW
_symmetry_space_group_name_H-M 'P m -3 m'
_symmetry_Int_Tables_number 221
_symmetry_space_group_name_Hall '-P 4 2 3'
_cell_length_a 4.617
_cell_length_b 4.617
_cell_length_c 4.617
_cell_angle_alpha 90.00
_cell_angle_beta 90.00
_cell_angle_gamma 90.00
loop_
_atom_site_label
_atom_site_type_symbol
_atom_site_fract_x
_atom_site_fract_y
_atom_site_fract_z
V1 V 0.000 0.000 0.500
Sn1 Sn 0.500 0.500 0.500
W1 W 0.000 0.000 0.000
```



2) V3SnW: relaxed, PBE.

Computed properties:
* total magnetization: 0.4071 μB/atom
* density: 7.3 g/cm3

```
data_V3SnW
_symmetry_space_group_name_H-M 'P m -3 m'
_symmetry_Int_Tables_number 221
_symmetry_space_group_name_Hall '-P 4 2 3'
_cell_length_a 4.703
_cell_length_b 4.703
_cell_length_c 4.703
_cell_angle_alpha 90.00
_cell_angle_beta 90.00
_cell_angle_gamma 90.00
loop_
_atom_site_label
_atom_site_type_symbol
_atom_site_fract_x
_atom_site_fract_y
_atom_site_fract_z
V1 V 0.000 0.000 0.500
Sn1 Sn 0.000 0.000 0.000
W1 W 0.500 0.500 0.500
```



How do the energies compare? Relative to the most stable structure, in meV/atom: 1) 0; 2) 950.



1) V2SnW2: relaxed, PBE.

Computed properties:
* total magnetization: 0.0000 μB/atom
* density: 10.7 g/cm3

```
data_V2SnW2
_symmetry_space_group_name_H-M 'I 4/m m m'
_symmetry_Int_Tables_number 139
_symmetry_space_group_name_Hall '-I 4 2'
_cell_length_a 4.081
_cell_length_b 4.081
_cell_length_c 10.959
_cell_angle_alpha 90.00
_cell_angle_beta 90.00
_cell_angle_gamma 90.00
loop_
_atom_site_label
_atom_site_type_symbol
_atom_site_fract_x
_atom_site_fract_y
_atom_site_fract_z
V1 V 0.000 0.500 0.250
Sn1 Sn 0.000 0.000 0.000
W1 W 0.000 0.000 0.385
```



2) V2SnW2: relaxed, PBE.

Computed properties:
* total magnetization: 0.1685 μB/atom
* density: 11.4 g/cm3

```
data_V2SnW2
_symmetry_space_group_name_H-M 'P 4/m b m'
_symmetry_Int_Tables_number 127
_symmetry_space_group_name_Hall '-P 4 2ab'
_cell_length_a 7.549
_cell_length_b 7.549
_cell_length_c 2.996
_cell_angle_alpha 90.00
_cell_angle_beta 90.00
_cell_angle_gamma 90.00
loop_
_atom_site_label
_atom_site_type_symbol
_atom_site_fract_x
_atom_site_fract_y
_atom_site_fract_z
V1 V 0.188 0.312 0.000
Sn1 Sn 0.000 0.000 0.500
W1 W 0.113 0.613 0.500
```



How do the energies compare? Relative to the most stable structure, in meV/atom: 1) 277; 2) 0.



1) YV3Sn: relaxed, PBE.

Computed properties:
* total magnetization: 0.0016 μB/atom
* density: 5.8 g/cm3

```
data_YV3Sn
_symmetry_space_group_name_H-M 'P m -3 m'
_symmetry_Int_Tables_number 221
_symmetry_space_group_name_Hall '-P 4 2 3'
_cell_length_a 4.686
_cell_length_b 4.686
_cell_length_c 4.686
_cell_angle_alpha 90.00
_cell_angle_beta 90.00
_cell_angle_gamma 90.00
loop_
_atom_site_label
_atom_site_type_symbol
_atom_site_fract_x
_atom_site_fract_y
_atom_site_fract_z
Y1 Y 0.000 0.000 0.000
V1 V 0.000 0.000 0.500
Sn1 Sn 0.500 0.500 0.500
```



2) YV3Sn: relaxed, PBE.

Computed properties:
* total magnetization: 1.8120 μB/atom
* density: 4.7 g/cm3

```
data_YV3Sn
_symmetry_space_group_name_H-M 'P m -3 m'
_symmetry_Int_Tables_number 221
_symmetry_space_group_name_Hall '-P 4 2 3'
_cell_length_a 5.045
_cell_length_b 5.045
_cell_length_c 5.045
_cell_angle_alpha 90.00
_cell_angle_beta 90.00
_cell_angle_gamma 90.00
loop_
_atom_site_label
_atom_site_type_symbol
_atom_site_fract_x
_atom_site_fract_y
_atom_site_fract_z
Y1 Y 0.000 0.000 0.000
V1 V 0.000 0.500 0.500
Sn1 Sn 0.500 0.500 0.500
```



How do the energies compare? Relative to the most stable structure, in meV/atom: 1) 655; 2) 0.